[1]
The following is a GGA-PBE calculation of a geometry-optimized SiB3Au structure, from Alexandria via LeMat-Bulk.

Properties
Relative energy among the computed polymorphs (meV per atom): 0
D(E_F) (states/eV/cell): 2.16
VASP energy (eV/atom): -4.190
Formation energy without anion corrections (eV per atom): 1.5561

abc: 4.0323 4.0323 4.0323
angles: 90.00 90.00 90.00
Space group Pm-3m (No. 221)
Symmetry-distinct sites (fractional):
Si 0.0000 0.0000 0.0000
B 0.0000 0.0000 0.5000
Au 0.5000 0.5000 0.5000

[2]
The following is a GGA-PBE calculation of a geometry-optimized SiB2Au structure, from Alexandria via LeMat-Bulk.

Properties
D(E_F) (states/eV/cell): 7.67
VASP energy (eV/atom): -4.902
Formation energy without anion corrections (eV per atom): 0.6118

abc: 4.9464 4.9464 9.3542
angles: 90.00 90.00 90.00
Space group I-42d (No. 122)
Symmetry-distinct sites (fractional):
Si 0.0000 0.0000 0.0000
B 0.2242 0.2500 0.1250
Au 0.0000 0.0000 0.5000

[3]
The following is a GGA-PBE calculation of a geometry-optimized SiBAu2 structure, from Alexandria via LeMat-Bulk.

Properties
Relative energy among the computed polymorphs (meV per atom): 410
D(E_F) (states/eV/cell): 9.10
VASP energy (eV/atom): -3.755
Formation energy without anion corrections (eV per atom): 0.9092

abc: 6.2411 6.2411 6.2411
angles: 90.00 90.00 90.00
Space group Fm-3m (No. 225)
Symmetry-distinct sites (fractional):
Si 0.0000 0.0000 0.0000
B 0.0000 0.0000 0.5000
Au 0.2500 0.2500 0.2500

[4]
The following is a GGA-PBE calculation of a geometry-optimized Si3BAu structure, from Alexandria via LeMat-Bulk.

Properties
Relative energy among the computed polymorphs (meV per atom): 0
D(E_F) (states/eV/cell): 1.92
VASP energy (eV/atom): -4.642
Formation energy without anion corrections (eV per atom): 0.6026

abc: 4.1741 4.1741 4.1741
angles: 90.00 90.00 90.00
Space group Pm-3m (No. 221)
Symmetry-distinct sites (fractional):
Si 0.0000 0.0000 0.5000
B 0.0000 0.0000 0.0000
Au 0.5000 0.5000 0.5000

[5]
The following is a GGA-PBE calculation of a geometry-optimized YSiBAu2 structure, from Alexandria via LeMat-Bulk.

Properties
D(E_F) (states/eV/cell): 5.26
VASP energy (eV/atom): -3.362
Formation energy without anion corrections (eV per atom): 1.6620

abc: 5.4342 5.4342 5.5179
angles: 90.00 90.00 90.00
Space group P4/mmm (No. 123)
Symmetry-distinct sites (fractional):
Y 0.0000 0.0000 0.0000
Si 0.0000 0.0000 0.5000
B 0.5000 0.5000 0.5000
Au 0.0000 0.5000 0.0000

[6]
The following is a GGA-PBE calculation of a geometry-optimized ZnSiB2Au structure, from Alexandria via LeMat-Bulk.

Properties
D(E_F) (states/eV/cell): 2.23
VASP energy (eV/atom): -3.225
Formation energy without anion corrections (eV per atom): 1.4410

abc: 3.8498 3.8498 5.4981
angles: 90.00 90.00 90.00
Space group P4/mmm (No. 123)
Symmetry-distinct sites (fractional):
Zn 0.0000 0.0000 0.0000
Si 0.5000 0.5000 0.5000
B 0.0000 0.5000 0.0000
Au 0.0000 0.0000 0.5000

[7]
The following is a GGA-PBE calculation of a geometry-optimized SnBAu structure, from Alexandria via LeMat-Bulk.

Properties
Formation energy (eV per atom): 0.5296
D(E_F) (states/eV/cell): 3.21
VASP energy (eV/atom): -4.123

abc: 11.8240 3.0790 5.9479
angles: 90.00 90.00 90.00
Space group Pnma (No. 62)
Symmetry-distinct sites (fractional):
Sn 0.1635 0.2500 0.1549
B 0.1598 0.7500 0.8279
Au 0.0444 0.2500 0.6934

[8]
The following is a GGA-PBE calculation of a geometry-optimized SnBAu structure, from Alexandria via LeMat-Bulk.

Properties
Formation energy (eV per atom): 0.8145
D(E_F) (states/eV/cell): 1.28
VASP energy (eV/atom): -3.838

abc: 3.9209 3.9209 8.3565
angles: 90.00 90.00 120.00
Space group P6_3/mmc (No. 194)
Symmetry-distinct sites (fractional):
Sn 0.3333 0.6667 0.2500
B 0.3333 0.6667 0.7500
Au 0.0000 0.0000 0.0000

Question: What is the D(E_F) in the sixth record?
Answer: 2.23 states/eV/cell

Question: What is the formula in the second record?
Answer: SiB2Au

Question: Among the records above, which one has the lowest D(E_F)?
Answer: number 8